{
  "formula": "ZrPt2W",
  "functional": "meta-GGA SCAN",
  "state": "single point on PBEsol structure",
  "final_energy_ev_per_atom": -60.74,
  "delta_e_f_ev_per_fu": -2.18,
  "cell": [[4.677, -1.417, 0.000], [4.677, 1.417, 0.000], [-0.833, 0.000, 4.951]],
  "species": ["Zr", "Pt", "Pt", "W"],
  "fractional_positions": [[0.000, 0.000, 0.000], [0.249, 0.249, 0.788], [0.497, 0.497, 0.496], [0.754, 0.754, 0.318]]
}